RbMg6Fe | PBE | relaxed

Cell: 3.9788 7.7360 14.8309 Å, 90.00 90.00 90.00°
Last column: nearest neighbours and their distance in Å.
Space group Amm2 (No. 38)
Symmetry-distinct sites (fractional):
Rb1 0.0000 0.0000 0.0000 x2  6 Mg 3.57-3.60, 2 Rb 3.98
Mg1 0.0000 0.1972 0.2801 x4  1 Fe 2.73, 1 Mg 3.05
Mg2 0.5000 0.0000 0.4278 x2  6 Mg 3.28-3.33
Mg3 0.5000 0.0000 0.8000 x2  2 Fe 2.62
Mg4 0.5000 0.1941 0.6246 x4  2 Fe 2.65
Fe1 0.0000 0.0000 0.6853 x2  8 Mg 2.62-2.73

Results
Total energy in eV/atom: -2.0068
Magnetization in μB/cell: 3.83
Mass density in g/cm3: 2.089
DFT formation energy in eV per atom: 0.37